No. 1
First-principles (GGA-PBE) data for a relaxed PrTmMg4 crystal, as listed in Alexandria.

The space group is Immm (No. 71) and the conventional cell measures 5.261, 6.651 and 9.151 Å, with angles of 90.00, 90.00 and 90.00 degrees. The distinct sites, in fractional coordinates, are Pr at (0.000, 0.000, 0.000), Tm at (0.000, 0.500, 0.000) and Mg at (0.000, 0.248, 0.334).

The value obtained for the energy above the lowest structure with this stoichiometry is 6 meV/atom. As for the total energy: -32.09 eV for the cell shown.

No. 2
First-principles (GGA-PBE) data for a relaxed PrTm6Mg crystal, as listed in Alexandria.

The space group is P4/mmm (No. 123) and the conventional cell measures 6.926, 6.926 and 5.004 Å, with angles of 90.00, 90.00 and 90.00 degrees. The distinct sites, in fractional coordinates, are Pr at (0.000, 0.000, 0.000), Tm at (0.000, 0.500, 0.000), Tm at (0.249, 0.249, 0.500) and Mg at (0.500, 0.500, 0.000).

The value obtained for the energy above the lowest structure with this stoichiometry is 0 meV/atom. As for the total energy: -32.84 eV for the cell shown.

No. 3
First-principles (GGA-PBE) data for a relaxed Pr2TmMg9 crystal, as listed in Alexandria.

The space group is R-3m (No. 166, hexagonal axes) and the conventional cell measures 6.0846, 6.0846 and 29.4811 Å, with angles of 90.00, 90.00 and 120.00 degrees. The distinct sites, in fractional coordinates, are Pr at (0.0000, 0.0000, 0.1411), Tm at (0.0000, 0.0000, 0.0000), Mg at (0.0000, 0.0000, 0.3339), Mg at (0.0000, 0.0000, 0.5000) and Mg at (0.0030, 0.5015, 0.9176).

As for the total energy: -86.36 eV for the cell shown.

No. 4
First-principles (GGA-PBE) data for a relaxed PrTm6Mg2 crystal, as listed in Alexandria.

The space group is P4/mmm (No. 123) and the conventional cell measures 4.841, 4.841 and 11.916 Å, with angles of 90.00, 90.00 and 90.00 degrees. The distinct sites, in fractional coordinates, are Pr at (0.000, 0.000, 0.000), Tm at (0.000, 0.000, 0.500), Tm at (0.000, 0.500, 0.292), Tm at (0.500, 0.500, 0.500) and Mg at (0.500, 0.500, 0.116).

As for the total energy: -33.57 eV for the cell shown.

No. 5
First-principles (GGA-PBE) data for a relaxed Pr2Tm2Mg15 crystal, as listed in Alexandria.

The space group is R-3m (No. 166, hexagonal axes) and the conventional cell measures 10.5154, 10.5154 and 15.3391 Å, with angles of 90.00, 90.00 and 120.00 degrees. The distinct sites, in fractional coordinates, are Pr at (0.0000, 0.0000, 0.1685), Tm at (0.0000, 0.0000, 0.3989), Mg at (0.0000, 0.2949, 0.5000), Mg at (0.0000, 0.5000, 0.0000) and Mg at (0.0081, 0.5041, 0.6469).

As for the total energy: -127.96 eV for the cell shown.

No. 6
First-principles (GGA-PBE) data for a relaxed Pr6Tm3Mg crystal, as listed in Alexandria.

The space group is P2_1/m (No. 11) and the conventional cell measures 11.300, 5.127 and 11.443 Å, with angles of 90.00, 90.98 and 90.00 degrees. The distinct sites, in fractional coordinates, are Pr at (0.049, 0.250, 0.397), Pr at (0.151, 0.250, 0.699), Pr at (0.152, 0.750, 0.196), Pr at (0.250, 0.250, 0.001), Pr at (0.349, 0.750, 0.801), Pr at (0.450, 0.250, 0.601), Tm at (0.250, 0.750, 0.497), Tm at (0.351, 0.250, 0.299), Tm at (0.451, 0.750, 0.100) and Mg at (0.047, 0.750, 0.905).

As for the total energy: -87.09 eV for the cell shown.